No. 1
Compound: Na2TeHSe
Source: Alexandria
Functional: PBE
Structure: relaxed

Cell: 5.819 5.819 3.624 Å, 90.00 90.00 90.00°
Element x y z (fractional)
Na  0.000  0.500  0.975
Na  0.500  0.000  0.975
Te  0.500  0.500  0.505
H  0.000  0.000  0.478
Se  0.000  0.000  0.068

Properties
The value obtained for the volume is 122.7 Å³ per cell. The total energy comes out at -3.05 eV/atom. Its symmetry is No. 99.

***

No. 2
Compound: DyTiPb2
Source: Alexandria
Functional: PBE
Structure: relaxed

Cell: 4.719 4.719 6.008 Å, 66.88 66.88 60.00°
Element x y z (fractional)
Pb  0.762  0.762  0.713
Pb  0.238  0.238  0.287
Ti  0.500  0.500  0.500
Dy  0.000  0.000  0.000

Properties
The value obtained for the energy relative to the elements is -116 meV per atom. The value obtained for the volume is 103.3 Å³ per cell. The total energy comes out at -5.09 eV/atom. Its symmetry is No. 166.

***

No. 3
Compound: SbAs2Pd2
Source: Alexandria
Functional: PBE
Structure: relaxed

Cell: 7.742 7.742 3.116 Å, 90.00 90.00 90.00°
Element x y z (fractional)
Sb  0.000  0.000  0.000
Sb  0.500  0.500  0.000
As  0.146  0.646  0.500
As  0.646  0.854  0.500
As  0.854  0.354  0.500
As  0.354  0.146  0.500
Pd  0.360  0.860  0.000
Pd  0.860  0.640  0.000
Pd  0.640  0.140  0.000
Pd  0.140  0.360  0.000

Properties
The value obtained for the volume is 186.8 Å³ per cell. The total energy comes out at -4.87 eV/atom. The calculation puts the energy above the lowest structure with this stoichiometry at 0 meV per atom. The uncorrected formation energy comes out at -0.109 eV/atom. Its symmetry is No. 127.

***

No. 4
Compound: Rb3IF
Source: Alexandria
Functional: PBE
Structure: relaxed

Cell: 5.988 5.988 5.988 Å, 90.00 90.00 90.00°
Element x y z (fractional)
I  0.500  0.500  0.500
Rb  0.000  0.500  0.000
Rb  0.000  0.000  0.500
Rb  0.500  0.000  0.000
F  0.000  0.000  0.000

Properties
The value obtained for the volume is 214.7 Å³ per cell. The total energy comes out at -2.76 eV/atom. The calculation puts the energy above the lowest structure with this stoichiometry at 0 meV per atom. The uncorrected formation energy comes out at -1.494 eV/atom. Its symmetry is No. 221.

***

No. 5
Compound: Zn2Cd4Pb
Source: Alexandria
Functional: PBE
Structure: relaxed

Cell: 5.412 5.961 5.963 Å, 79.46 63.97 63.95°
Element x y z (fractional)
Zn  0.747  0.502  0.502
Zn  0.253  0.498  0.498
Cd  0.700  0.604  0.999
Cd  0.300  0.396  0.001
Cd  0.700  0.999  0.604
Cd  0.300  0.001  0.396
Pb  0.000  0.000  0.000

Properties
The value obtained for the energy relative to the elements is 59 meV per atom. The value obtained for the volume is 155.3 Å³ per cell. The total energy comes out at -1.36 eV/atom. Its symmetry is No. 12.

***

No. 6
Compound: CoSiTcRh
Source: Alexandria
Functional: PBE
Structure: relaxed

Cell: 4.154 4.154 4.154 Å, 60.00 60.00 60.00°
Site moments in Bohr magnetons follow the coordinates.
Element x y z (fractional)
Co  0.250  0.250  0.250  0.12
Si  0.750  0.750  0.750  0.00
Rh  0.500  0.500  0.500  0.01
Tc  0.000  0.000  0.000  0.01

Properties
The value obtained for the volume is 50.7 Å³ per cell. The total energy comes out at -7.86 eV/atom. The uncorrected formation energy comes out at -0.297 eV/atom. Its symmetry is No. 216.

***

No. 7
Compound: Tb2ThMgC
Source: Alexandria
Functional: PBE
Structure: relaxed

Cell: 5.077 5.025 5.025 Å, 90.00 90.00 90.00°
Element x y z (fractional)
Tb  0.000  0.000  0.500
Tb  0.000  0.500  0.000
Th  0.500  0.000  0.000
Mg  0.500  0.500  0.500
C  0.000  0.000  0.000

Properties
The value obtained for the energy relative to the elements is -152 meV per atom. The value obtained for the volume is 128.2 Å³ per cell. The total energy comes out at -5.65 eV/atom. Its symmetry is No. 123.

***

No. 8
Compound: Nb2CSe2
Source: Alexandria
Functional: PBE
Structure: relaxed

Cell: 3.336 3.336 10.589 Å, 82.30 80.94 60.00°
Element x y z (fractional)
Nb  0.710  0.193  0.388
Nb  0.290  0.807  0.612
C  0.000  0.500  0.500
Se  0.443  0.900  0.214
Se  0.557  0.100  0.786

Properties
The value obtained for the volume is 100.6 Å³ per cell. The total energy comes out at -8.04 eV/atom. The uncorrected formation energy comes out at -0.778 eV/atom. Its symmetry is No. 12.